(1)
LuGaCoPt | PBE | relaxed

The space group is F-43m (No. 216) and the conventional cell measures 6.372, 6.372 and 6.372 Å, with angles of 90.00, 90.00 and 90.00 degrees. The distinct sites, in fractional coordinates, are Lu at (0.000, 0.000, 0.000), Ga at (0.000, 0.000, 0.500), Co at (0.250, 0.250, 0.750) and Pt at (0.250, 0.250, 0.250).

The calculation puts the formation energy at -0.630 eV/atom. Its total energy is -0.42654 Ry/atom.

=====

(2)
LuPuGaCo | PBE | relaxed

The space group is F-43m (No. 216) and the conventional cell measures 6.857, 6.857 and 6.857 Å, with angles of 90.00, 90.00 and 90.00 degrees. The distinct sites, in fractional coordinates, are Lu at (0.000, 0.000, 0.000), Pu at (0.000, 0.000, 0.500), Ga at (0.250, 0.250, 0.750) and Co at (0.250, 0.250, 0.250).

The calculation puts the formation energy at -0.196 eV/atom. Its total energy is -0.54697 Ry/atom.

=====

(3)
LuGaCoRu | PBE | relaxed

The space group is F-43m (No. 216) and the conventional cell measures 6.253, 6.253 and 6.253 Å, with angles of 90.00, 90.00 and 90.00 degrees. The distinct sites, in fractional coordinates, are Lu at (0.000, 0.000, 0.000), Ga at (0.000, 0.000, 0.500), Co at (0.250, 0.250, 0.750) and Ru at (0.250, 0.250, 0.250).

The calculation puts the formation energy at -0.325 eV/atom. Its total energy is -0.46360 Ry/atom.

=====

(4)
LuScGaCo | PBE | relaxed

The space group is F-43m (No. 216) and the conventional cell measures 6.643, 6.643 and 6.643 Å, with angles of 90.00, 90.00 and 90.00 degrees. The distinct sites, in fractional coordinates, are Lu at (0.000, 0.000, 0.000), Sc at (0.000, 0.000, 0.500), Ga at (0.250, 0.250, 0.250) and Co at (0.250, 0.250, 0.750).

The calculation puts the formation energy at -0.403 eV/atom. Its total energy is -0.41523 Ry/atom.

=====

(5)
TmLuGaCo | PBE | relaxed

The space group is F-43m (No. 216) and the conventional cell measures 6.812, 6.812 and 6.812 Å, with angles of 90.00, 90.00 and 90.00 degrees. The distinct sites, in fractional coordinates, are Tm at (0.000, 0.000, 0.000), Lu at (0.000, 0.000, 0.500), Ga at (0.250, 0.250, 0.250) and Co at (0.250, 0.250, 0.750).

The calculation puts the formation energy at -0.369 eV/atom. Its total energy is -0.37857 Ry/atom.

=====

(6)
LuZnGaCo | PBE | relaxed

The space group is F-43m (No. 216) and the conventional cell measures 6.336, 6.336 and 6.336 Å, with angles of 90.00, 90.00 and 90.00 degrees. The distinct sites, in fractional coordinates, are Lu at (0.000, 0.000, 0.000), Zn at (0.250, 0.250, 0.750), Ga at (0.000, 0.000, 0.500) and Co at (0.250, 0.250, 0.250).

The calculation puts the formation energy at -0.209 eV/atom. Its total energy is -0.30805 Ry/atom.

=====

(7)
LuZrGaCo | PBE | relaxed

The space group is F-43m (No. 216) and the conventional cell measures 6.688, 6.688 and 6.688 Å, with angles of 90.00, 90.00 and 90.00 degrees. The distinct sites, in fractional coordinates, are Lu at (0.000, 0.000, 0.000), Zr at (0.000, 0.000, 0.500), Ga at (0.250, 0.250, 0.250) and Co at (0.250, 0.250, 0.750).

The calculation puts the formation energy at -0.326 eV/atom. Its total energy is -0.45032 Ry/atom.

=====

(8)
MgGa2Co2 | PBE | relaxed

The space group is I4/mmm (No. 139) and the conventional cell measures 3.841, 3.841 and 20.504 Å, with angles of 90.00, 90.00 and 90.00 degrees. The distinct sites, in fractional coordinates, are Mg at (0.000, 0.000, 0.132), Ga at (0.000, 0.000, 0.318), Ga at (0.000, 0.500, 0.000), Co at (0.000, 0.000, 0.432) and Co at (0.000, 0.500, 0.250).

The calculation puts the formation energy at -0.104 eV/atom. Its total energy is -0.32899 Ry/atom. The value obtained for the energy relative to the lowest polymorph listed for this composition is 11.1 kJ per mole of atoms.

=====

Which value of formation energy does entry 3 give? -0.325 eV/atom

=====

Which of these has the highest formation energy? MgGa2Co2

=====

Which of these has the lowest formation energy? LuGaCoPt